Entry 1:
LiCoNi2 after structural relaxation. Source: the Alexandria database, functional PBEsol.

Properties
- SG = No. 99
- energy (eV/atom) = -5.398

Unit cell a=2.412 b=2.412 c=7.471 alpha=90.00 beta=90.00 gamma=90.00
Each line ends with the local moment (μB).
Positions (direct):
Li (0.500, 0.500, 0.755)  -0.02
Ni (0.500, 0.500, 0.249)  0.57
Ni (0.000, 0.000, 0.015)  0.39
Co (0.000, 0.000, 0.481)  1.62

Entry 2:
LiCoNi2 after structural relaxation. Source: the Alexandria database, functional PBEsol.

Properties
- SG = No. 123
- energy (eV/atom) = -5.455

Unit cell a=2.455 b=2.455 c=7.190 alpha=90.00 beta=90.00 gamma=90.00
Each line ends with the local moment (μB).
Positions (direct):
Li (0.500, 0.500, 0.500)  -0.01
Ni (0.000, 0.000, 0.232)  0.55
Ni (0.000, 0.000, 0.768)  0.55
Co (0.500, 0.500, 0.000)  1.59

Entry 3:
Li3CoNi after structural relaxation. Source: the Alexandria database, functional PBEsol.

Properties
- SG = No. 221
- relative energy among the computed polymorphs (meV/atom) = 132

Unit cell a=4.303 b=4.303 c=4.303 alpha=90.00 beta=90.00 gamma=90.00
Each line ends with the local moment (μB).
Positions (direct):
Li (0.000, 0.000, 0.500)  -0.01
Li (0.000, 0.500, 0.000)  -0.01
Li (0.500, 0.000, 0.000)  -0.01
Ni (0.500, 0.500, 0.500)  0.74
Co (0.000, 0.000, 0.000)  1.37

Entry 4:
LiCoNi2 after structural relaxation. Source: the Alexandria database, functional PBEsol.

Properties
- SG = No. 47
- energy (eV/atom) = -5.429

Unit cell a=2.422 b=3.506 c=4.927 alpha=90.00 beta=90.00 gamma=90.00
Each line ends with the local moment (μB).
Positions (direct):
Ni (0.000, 0.000, 0.243)  0.56
Ni (0.000, 0.000, 0.757)  0.56
Li (0.500, 0.500, 0.500)  -0.01
Co (0.500, 0.500, 0.000)  1.60

Entry 5:
Li4CoNi5O12 after structural relaxation. Source: the Alexandria database, functional PBEsol.

Properties
- SG = No. 5
- formation energy (no corrections) (eV/atom) = -1.195

Unit cell a=4.841 b=4.841 c=9.745 alpha=94.93 beta=94.93 gamma=119.00
Each line ends with the local moment (μB).
Positions (direct):
Co (0.000, 0.000, 0.000)  -0.05
Ni (0.833, 0.167, 0.500)  0.18
Ni (0.337, 0.663, 0.000)  0.65
Ni (0.165, 0.835, 0.500)  0.17
Ni (0.499, 0.501, 0.500)  1.03
Ni (0.666, 0.334, 0.000)  0.17
O (0.651, 0.987, 0.893)  0.10
O (0.367, 0.026, 0.101)  0.03
O (0.974, 0.633, 0.899)  0.03
O (0.013, 0.349, 0.107)  0.10
O (0.191, 0.535, 0.604)  0.06
O (0.291, 0.289, 0.898)  0.01
O (0.465, 0.809, 0.396)  0.06
O (0.807, 0.467, 0.396)  0.06
O (0.711, 0.709, 0.102)  0.01
O (0.113, 0.114, 0.393)  0.09
O (0.533, 0.193, 0.604)  0.06
O (0.886, 0.887, 0.607)  0.09
Li (0.264, 0.926, 0.758)  0.00
Li (0.926, 0.259, 0.757)  0.00
Li (0.741, 0.074, 0.243)  0.00
Li (0.074, 0.736, 0.242)  0.00

Entry 6:
Li6Co5Ni3O16 after structural relaxation. Source: the Alexandria database, functional PBEsol.

Properties
- SG = No. 8
- formation energy (no corrections) (eV/atom) = -1.321

Unit cell a=5.554 b=5.569 c=8.988 alpha=90.55 beta=90.00 gamma=119.91
Each line ends with the local moment (μB).
Positions (direct):
Ni (0.832, 0.663, 0.214)  0.09
Ni (0.169, 0.832, 0.714)  0.41
Ni (0.663, 0.832, 0.714)  0.41
O (0.002, 0.005, 0.817)  0.02
O (0.324, 0.167, 0.590)  0.01
O (0.331, 0.662, 0.605)  0.03
O (0.840, 0.679, 0.589)  0.01
O (0.520, 0.040, 0.342)  0.00
O (0.477, 0.513, 0.846)  0.05
O (0.964, 0.482, 0.343)  0.00
O (0.001, 0.002, 0.318)  0.00
O (0.518, 0.482, 0.343)  0.00
O (0.842, 0.167, 0.590)  0.01
O (0.665, 0.330, 0.107)  0.00
O (0.036, 0.513, 0.846)  0.05
O (0.480, 0.961, 0.848)  0.04
O (0.161, 0.840, 0.091)  0.00
O (0.679, 0.840, 0.091)  0.00
O (0.159, 0.317, 0.094)  -0.01
Co (0.831, 0.168, 0.215)  -0.03
Co (0.331, 0.662, 0.991)  -0.01
Co (0.337, 0.168, 0.215)  -0.03
Co (0.169, 0.339, 0.714)  -0.05
Co (0.668, 0.337, 0.490)  -0.06
Li (0.832, 0.664, 0.946)  0.00
Li (0.665, 0.836, 0.447)  0.00
Li (0.171, 0.836, 0.447)  0.00
Li (0.833, 0.168, 0.950)  0.00
Li (0.170, 0.340, 0.448)  0.00
Li (0.335, 0.168, 0.950)  0.00

Entry 7:
Li2CoNi3O8 after structural relaxation. Source: the Alexandria database, functional PBEsol.

Properties
- SG = No. 166
- formation energy (no corrections) (eV/atom) = -1.207
- relative energy among the computed polymorphs (meV/atom) = 0

Unit cell a=5.627 b=5.627 c=5.627 alpha=60.28 beta=60.28 gamma=60.28
Each line ends with the local moment (μB).
Positions (direct):
O (0.266, 0.266, 0.707)  0.02
O (0.736, 0.736, 0.736)  0.02
O (0.266, 0.707, 0.266)  0.02
O (0.707, 0.266, 0.266)  0.02
O (0.734, 0.734, 0.293)  0.02
O (0.734, 0.293, 0.734)  0.02
O (0.264, 0.264, 0.264)  0.02
O (0.293, 0.734, 0.734)  0.02
Li (0.876, 0.876, 0.876)  0.00
Li (0.124, 0.124, 0.124)  0.00
Ni (0.000, 0.500, 0.500)  0.19
Ni (0.500, 0.500, 0.000)  0.19
Ni (0.500, 0.000, 0.500)  0.19
Co (0.500, 0.500, 0.500)  -0.04

Entry 8:
LiCo2NiO6 after structural relaxation. Source: the Alexandria database, functional PBEsol.

Properties
- SG = No. 12
- formation energy (no corrections) (eV/atom) = -1.123

Unit cell a=2.787 b=5.797 c=6.234 alpha=75.49 beta=77.04 gamma=89.95
Each line ends with the local moment (μB).
Positions (direct):
O (0.012, 0.225, 0.476)  -0.01
O (0.340, 0.889, 0.820)  0.06
O (0.988, 0.775, 0.524)  -0.01
O (0.660, 0.111, 0.180)  0.06
O (0.328, 0.457, 0.844)  0.03
O (0.672, 0.543, 0.156)  0.03
Ni (0.500, 0.000, 0.500)  -0.08
Co (0.172, 0.324, 0.157)  0.44
Co (0.828, 0.676, 0.843)  0.44
Li (0.500, 0.500, 0.500)  0.00

Entry 9:
Li2CoNi3O8 after structural relaxation. Source: the Alexandria database, functional PBEsol.

Properties
- SG = No. 12
- formation energy (no corrections) (eV/atom) = -1.148
- relative energy among the computed polymorphs (meV/atom) = 59

Unit cell a=5.585 b=5.621 c=5.744 alpha=90.08 beta=118.72 gamma=120.17
Each line ends with the local moment (μB).
Positions (direct):
Li (0.500, 0.500, 0.500)  0.00
Li (0.500, 0.000, 0.500)  0.00
O (0.973, 0.237, 0.201)  0.01
O (0.535, 0.268, 0.791)  0.04
O (0.974, 0.737, 0.201)  0.01
O (0.027, 0.763, 0.799)  0.01
O (0.463, 0.231, 0.208)  0.04
O (0.026, 0.263, 0.799)  0.01
O (0.465, 0.732, 0.209)  0.04
O (0.537, 0.769, 0.792)  0.04
Ni (0.500, 0.500, 0.000)  0.40
Ni (0.500, 0.000, 0.000)  0.41
Ni (0.000, 0.500, 0.000)  0.01
Co (0.000, 0.000, 0.000)  -0.10

Entry 10:
Li3Co2NiO6 after structural relaxation. Source: the Alexandria database, functional PBEsol.

Properties
- SG = No. 2
- formation energy (no corrections) (eV/atom) = -1.447

Unit cell a=2.809 b=5.634 c=6.380 alpha=102.31 beta=102.77 gamma=90.07
Each line ends with the local moment (μB).
Positions (direct):
O (0.666, 0.107, 0.334)  0.09
O (0.334, 0.893, 0.666)  0.09
O (0.675, 0.565, 0.349)  -0.01
O (0.325, 0.435, 0.651)  -0.01
O (0.011, 0.238, 0.025)  0.03
O (0.989, 0.762, 0.975)  0.03
Li (0.832, 0.161, 0.664)  0.00
Li (0.500, 0.500, 0.000)  0.00
Li (0.168, 0.839, 0.336)  0.00
Co (0.832, 0.666, 0.663)  -0.06
Co (0.168, 0.334, 0.337)  -0.06
Ni (0.500, 0.000, 0.000)  0.80

Entry 11:
Li6CoNi9O20 after structural relaxation. Source: the Alexandria database, functional PBEsol.

Properties
- SG = No. 12
- formation energy (no corrections) (eV/atom) = -1.150

Unit cell a=2.831 b=11.258 c=11.448 alpha=114.85 beta=90.00 gamma=97.22
Each line ends with the local moment (μB).
Positions (direct):
Ni (0.901, 0.802, 0.302)  0.42
Ni (0.298, 0.596, 0.601)  0.30
Ni (0.900, 0.800, 0.800)  0.69
Ni (0.100, 0.200, 0.200)  0.69
Ni (0.099, 0.198, 0.698)  0.42
Ni (0.702, 0.404, 0.399)  0.30
Ni (0.301, 0.601, 0.098)  0.38
Ni (0.699, 0.399, 0.902)  0.38
Ni (0.500, 0.000, 0.000)  0.16
O (0.994, 0.988, 0.388)  0.00
O (0.393, 0.786, 0.181)  0.07
O (0.610, 0.220, 0.322)  0.10
O (0.207, 0.413, 0.022)  0.04
O (0.607, 0.214, 0.819)  0.07
O (0.406, 0.813, 0.923)  0.09
O (0.793, 0.587, 0.978)  0.04
O (0.408, 0.816, 0.419)  0.04
O (0.794, 0.589, 0.490)  0.04
O (0.193, 0.386, 0.789)  0.08
O (0.006, 0.012, 0.112)  0.03
O (0.390, 0.780, 0.678)  0.10
O (0.592, 0.184, 0.581)  0.04
O (0.194, 0.387, 0.279)  0.06
O (0.807, 0.614, 0.211)  0.08
O (0.806, 0.613, 0.721)  0.06
O (0.994, 0.988, 0.888)  0.03
O (0.206, 0.411, 0.510)  0.04
O (0.006, 0.012, 0.612)  0.00
O (0.594, 0.187, 0.077)  0.09
Co (0.500, 0.000, 0.500)  -0.18
Li (0.289, 0.578, 0.831)  0.01
Li (0.902, 0.804, 0.554)  0.01
Li (0.711, 0.422, 0.169)  0.01
Li (0.090, 0.180, 0.931)  0.01
Li (0.098, 0.196, 0.446)  0.01
Li (0.910, 0.820, 0.069)  0.01

Entry 12:
Li5Co3Ni2O10 after structural relaxation. Source: the Alexandria database, functional PBEsol.

Properties
- SG = No. 2
- formation energy (no corrections) (eV/atom) = -1.378

Unit cell a=4.847 b=7.450 c=9.939 alpha=105.92 beta=101.75 gamma=102.83
Each line ends with the local moment (μB).
Positions (direct):
O (0.959, 0.125, 0.438)  0.03
O (0.449, 0.668, 0.449)  0.01
O (0.041, 0.875, 0.062)  0.03
O (0.131, 0.542, 0.654)  0.18
O (0.959, 0.125, 0.938)  0.03
O (0.131, 0.542, 0.154)  0.18
O (0.041, 0.875, 0.562)  0.03
O (0.670, 0.051, 0.632)  0.01
O (0.330, 0.949, 0.868)  0.01
O (0.869, 0.458, 0.346)  0.18
O (0.330, 0.949, 0.368)  0.01
O (0.552, 0.332, 0.551)  0.01
O (0.772, 0.773, 0.772)  0.00
O (0.448, 0.668, 0.949)  0.01
O (0.228, 0.227, 0.228)  0.00
O (0.551, 0.332, 0.051)  0.01
O (0.228, 0.227, 0.728)  0.00
O (0.869, 0.458, 0.846)  0.18
O (0.670, 0.051, 0.132)  0.01
O (0.772, 0.773, 0.272)  0.00
Co (0.000, 0.000, 0.250)  0.10
Co (0.300, 0.101, 0.553)  0.01
Co (0.300, 0.101, 0.053)  0.01
Co (0.700, 0.899, 0.947)  0.01
Co (0.000, 0.000, 0.750)  0.10
Co (0.700, 0.899, 0.447)  0.01
Li (0.500, 0.500, 0.750)  0.00
Li (0.209, 0.415, 0.462)  0.00
Li (0.791, 0.585, 0.538)  0.00
Li (0.209, 0.415, 0.962)  0.00
Li (0.611, 0.225, 0.859)  0.00
Li (0.389, 0.775, 0.641)  0.00
Li (0.611, 0.225, 0.359)  0.00
Li (0.389, 0.775, 0.141)  0.00
Li (0.500, 0.500, 0.250)  0.00
Li (0.791, 0.585, 0.038)  0.00
Ni (0.900, 0.306, 0.652)  0.62
Ni (0.100, 0.694, 0.348)  0.62
Ni (0.900, 0.306, 0.152)  0.62
Ni (0.100, 0.694, 0.848)  0.62

Computed total magnetization (μB per atom) in order:
0.608, 0.639, 0.366, 0.648, 0.138, 0.034, 0.054, 0.098, 0.073, 0.079, 0.140, 0.097